## Ga2FeSiO6 (PBE with a Hubbard U)

Data for crystalline Ga2FeSiO6 at its relaxed geometry.

Output
Space-group type: C2/c
Total moment, μB/cell: 8.07
Fermi-level density of states, states/eV/cell: 0.00
V, Å³/atom: 12.12
Energy, eV/atom: -6.65

The structure in CIF format:
```
data_Ga2FeSiO6
_chemical_formula_sum 'Ga4 Fe2 Si2 O12'
_cell_length_a 7.0387
_cell_length_b 7.0387
_cell_length_c 5.4662
_cell_angle_alpha 105.89
_cell_angle_beta 105.89
_cell_angle_gamma 99.06
_space_group_name_H-M_alt 'P 1'
_space_group_IT_number 1
loop_
_space_group_symop_operation_xyz
'x,y,z'
loop_
_atom_site_label
_atom_site_fract_x
_atom_site_fract_y
_atom_site_fract_z
_atom_site_occupancy
Ga1 0.0502 0.2189 0.1650 1
Ga2 0.2189 0.0502 0.6650 1
Ga3 0.7811 0.9498 0.3350 1
Ga4 0.9498 0.7811 0.8350 1
Fe1 0.4025 0.5975 0.7500 1
Fe2 0.5975 0.4025 0.2500 1
Si1 0.3187 0.6813 0.2500 1
Si2 0.6813 0.3187 0.7500 1
O1 0.0559 0.1908 0.4948 1
O2 0.1523 0.6513 0.9593 1
O3 0.1908 0.0559 0.9948 1
O4 0.2959 0.4652 0.3251 1
O5 0.3487 0.8477 0.5407 1
O6 0.4652 0.2959 0.8251 1
O7 0.5348 0.7041 0.1749 1
O8 0.6513 0.1523 0.4593 1
O9 0.7041 0.5348 0.6749 1
O10 0.8092 0.9441 0.0052 1
O11 0.8477 0.3487 0.0407 1
O12 0.9441 0.8092 0.5052 1
```